No. 1
Density functional theory data (PBE) for crystalline PmHo3Al8 at its relaxed geometry.

Energy of formation from the pure elements ... -6.017 eV per formula unit
SG ... No. 156
Calculated volume ... 245 Å³/cell

Cell lengths 5.563, 5.563, 9.143 Å; angles 90.00, 90.00, 120.00 degrees
Sites, in units of the cell vectors:
Pm1 0.000 0.000 0.000
Ho1 0.000 0.000 0.364
Ho2 0.667 0.333 0.499
Ho3 0.667 0.333 0.863
Al1 0.162 0.324 0.680
Al2 0.162 0.838 0.680
Al3 0.333 0.667 0.433
Al4 0.333 0.667 0.931
Al5 0.505 0.009 0.185
Al6 0.505 0.495 0.185
Al7 0.676 0.838 0.680
Al8 0.991 0.495 0.185


No. 2
Density functional theory data (PBE) for crystalline Ti2GaS at its relaxed geometry.

Uncorrected formation energy ... -0.092 eV/atom
SG ... No. 122
Calculated volume ... 179 Å³/cell

Cell lengths 7.012, 7.012, 7.012 Å; angles 133.44, 133.44, 67.96 degrees
Sites, in units of the cell vectors:
Ti1 0.099 0.625 0.974
Ti2 0.375 0.349 0.474
Ti3 0.651 0.125 0.026
Ti4 0.875 0.901 0.526
Ga1 0.250 0.750 0.500
Ga2 0.500 0.500 0.000
S1 0.000 0.000 0.000
S2 0.750 0.250 0.500


| no. | density (g/cm³) | M_tot (μB/cell) | E_tot (eV per atom) |
| --- | --- | --- | --- |
| 1 | 5.80 | 0.000 | -4.5368 |
| 2 | 3.67 | 0.000 | -5.8279 |